[1]
DFT (PBE) results for a geometry-optimized NiAgS structure.

Results
E_form (uncorrected): -12.1 kJ/mol of formula units

The structure in POSCAR format:
```
NiAgS
1.0
3.983 0.000 0.000
0.000 3.741 0.000
0.000 -1.871 3.240
S Ag Ni
1 1 1
Direct
0.167 0.000 0.000 S
0.667 0.333 0.667 Ag
0.167 0.667 0.333 Ni
```

[2]
DFT (PBE) results for a geometry-optimized CaSbIr2Se structure.

Results
E_form (uncorrected): 389.4 kJ/mol of formula units

The structure in POSCAR format:
```
CaSbIr2Se
1.0
4.835 0.000 0.000
0.000 5.996 0.000
0.000 0.000 4.835
Ca Se Sb Ir
1 1 1 2
Direct
0.000 0.500 0.000 Ca
0.500 0.500 0.500 Se
0.000 0.000 0.000 Sb
0.500 0.000 0.000 Ir
0.000 0.000 0.500 Ir
```